# SeS2NCl (PBE, optimized geometry)
data_SeS2NCl
_space_group_name_H-M_alt 'P 4/m m m'
_space_group_IT_number 123
_space_group_name_Hall '-P 4 2'
_cell_length_a 4.8679
_cell_length_b 4.8679
_cell_length_c 3.6944
_cell_angle_alpha 90.00
_cell_angle_beta 90.00
_cell_angle_gamma 90.00
loop_
_atom_site_label
_atom_site_type_symbol
_atom_site_fract_x
_atom_site_fract_y
_atom_site_fract_z
Se1 Se 0.0000 0.0000 0.0000
S1 S 0.0000 0.5000 0.5000
N1 N 0.5000 0.5000 0.0000
Cl1 Cl 0.5000 0.5000 0.5000
# **Mass density**: 3.652 Mg/m³
# **Total moment**: 1.12 μB/cell
# **Raw formation energy**: 1804 meV/atom
# **Distance to the lowest polymorph of the same formula**: 2.60 eV per formula unit
# **Energy**: -2.579 eV/atom